1.
4
Lattice="-1.652 1.655 1.890 -0.025 -2.273 1.969 5.570 2.362 2.798" Properties=species:S:1:pos:R:3 comment="LiCdTc2 GGA-PBEsol relaxed" space_group="P4mm, No. 99" crystal_system=tetragonal e_form_ev_per_fu=0.46 m_tot_mub_per_fu=0.00 pbc="T T T"
Cd 2.878 1.221 1.446
Li 3.412 1.494 4.065
Tc 0.316 0.181 2.510
Tc 0.072 0.030 0.036



2.
5
Lattice="-1.148 -3.332 2.661 2.080 -2.843 -2.663 4.509 3.838 3.086" Properties=species:S:1:pos:R:3 comment="NaZn2Sn2 GGA-PBEsol relaxed" space_group="I4/mmm, No. 139" crystal_system=tetragonal e_form_ev_per_fu=-0.28 de_polymorph_mev_per_atom=0 m_tot_mub_per_fu=0.00 pbc="T T T"
Na 0.000 0.000 0.000
Zn 3.528 -1.047 0.211
Sn 3.792 0.572 2.351
Sn 1.649 -2.909 0.733
Zn 1.914 -1.291 2.873



3.
5
Lattice="-0.331 -1.909 -5.620 4.316 -3.941 1.084 -4.074 -4.020 1.606" Properties=species:S:1:pos:R:3 comment="LaTiBi3 GGA-PBEsol relaxed" space_group="Pm-3m, No. 221" crystal_system=cubic e_form_ev_per_fu=5.00 m_tot_mub_per_fu=2.33 pbc="T T T"
La 0.000 0.000 0.000
Bi -2.037 -2.010 0.803
Bi 2.158 -1.971 0.542
Ti -0.045 -4.935 -1.465
Bi -0.166 -0.954 -2.810



4.
4
Lattice="4.750 0.000 0.000 2.375 4.114 0.000 2.375 1.371 3.878" Properties=species:S:1:pos:R:3 comment="PmRh2Pb GGA-PBEsol relaxed" space_group="Fm-3m, No. 225" crystal_system=cubic e_form_ev_per_fu=-1.78 m_tot_mub_per_fu=0.00 pbc="T T T"
Rh 7.125 4.114 2.909
Pb 4.750 2.742 1.939
Rh 2.375 1.371 0.970
Pm 0.000 0.000 0.000



5.
4
Lattice="5.017 0.000 0.000 2.509 4.345 0.000 2.509 1.448 4.096" Properties=species:S:1:pos:R:3 comment="LiZnSb2 GGA-PBEsol relaxed" space_group="F-43m, No. 216" crystal_system=cubic total_energy_ev_per_atom=-3.10 m_tot_mub_per_fu=0.00 pbc="T T T"
Li 5.017 2.897 2.048
Sb 0.000 0.000 0.000
Zn 2.509 1.448 1.024
Sb 7.526 4.345 3.072



6.
4
Lattice="-1.858 -1.753 1.466 -0.070 -0.114 -3.185 6.181 -6.472 0.096" Properties=species:S:1:pos:R:3 comment="SiMoCl2 GGA-PBEsol relaxed" space_group="Cmm2, No. 35" crystal_system=orthorhombic de_polymorph_mev_per_atom=184 m_tot_mub_per_fu=0.00 pbc="T T T"
Mo 3.176 -3.325 0.049
Cl 0.968 -2.863 0.762
Si 3.622 -5.642 0.803
Cl 5.829 -6.103 0.090



7.
4
Lattice="4.790 0.000 0.000 2.395 4.148 0.000 2.395 1.383 3.911" Properties=species:S:1:pos:R:3 comment="SrAl2W GGA-PBEsol relaxed" space_group="Fm-3m, No. 225" crystal_system=cubic e_form_ev_per_fu=2.30 de_polymorph_mev_per_atom=419 m_tot_mub_per_fu=1.55 pbc="T T T"
Sr 0.000 0.000 0.000
W 4.790 2.766 1.956
Al 7.185 4.148 2.933
Al 2.395 1.383 0.978



8.
4
Lattice="-1.440 -2.110 -3.510 -2.331 -2.949 2.729 -3.711 2.790 -0.155" Properties=species:S:1:pos:R:3 comment="Sr2ReAs GGA-PBEsol relaxed" space_group="P4/mmm, No. 123" crystal_system=tetragonal e_form_ev_per_fu=2.08 m_tot_mub_per_fu=1.70 pbc="T T T"
Sr -1.165 -1.474 1.364
Re -0.720 -1.055 -1.755
As -3.741 -1.134 -0.468
Sr -1.855 1.395 -0.077



9.
5
Lattice="-0.420 -4.009 -1.553 0.301 -3.389 2.661 -8.632 -2.115 1.787" Properties=species:S:1:pos:R:3 comment="In2Sb3 GGA-PBEsol relaxed" space_group="R-3m, No. 166" crystal_system=trigonal total_energy_ev_per_atom=-3.94 m_tot_mub_per_fu=0.00 pbc="T T T"
In -7.057 -4.647 1.890
Sb -3.528 -2.324 0.945
In -1.693 -4.866 1.005
Sb 0.000 0.000 0.000
Sb -5.223 -7.189 1.950



10.
4
Lattice="-1.455 -3.217 -1.150 2.925 -2.640 3.683 -3.888 1.135 1.744" Properties=species:S:1:pos:R:3 comment="In2SbIr GGA-PBEsol relaxed" space_group="P2/m, No. 10" crystal_system=monoclinic total_energy_ev_per_atom=-4.81 m_tot_mub_per_fu=0.00 pbc="T T T"
Ir 0.735 -2.929 1.266
Sb -0.481 -0.753 2.713
In -2.671 -1.041 0.297
In 0.000 0.000 0.000



11.
4
Lattice="-2.480 1.117 -0.546 -1.669 -1.849 3.800 2.184 3.805 2.811" Properties=species:S:1:pos:R:3 comment="CaIrRh2 GGA-PBEsol relaxed" space_group="P2/m, No. 10" crystal_system=monoclinic e_form_ev_per_fu=0.56 de_polymorph_mev_per_atom=56 m_tot_mub_per_fu=0.18 pbc="T T T"
Ir 0.257 0.978 3.305
Rh 0.207 1.271 0.710
Rh -0.503 3.651 1.556
Ca -2.075 -0.366 1.627



12.
4
Lattice="3.256 0.000 0.000 0.000 5.452 0.000 -1.628 -2.726 4.908" Properties=species:S:1:pos:R:3 comment="YSb2Ru GGA-PBEsol relaxed" space_group="Immm, No. 71" crystal_system=orthorhombic total_energy_ev_per_atom=-6.81 m_tot_mub_per_fu=0.00 pbc="T T T"
Ru 1.628 0.000 0.000
Sb 1.628 2.726 2.831
Y 0.000 2.726 0.000
Sb 0.000 0.000 2.077



13.
4
Lattice="3.015 -0.004 0.000 -0.567 4.711 0.000 -1.224 -2.353 4.461" Properties=species:S:1:pos:R:3 comment="CuRe2Te GGA-PBEsol relaxed" space_group="C2/m, No. 12" crystal_system=monoclinic total_energy_ev_per_atom=-7.74 m_tot_mub_per_fu=0.00 pbc="T T T"
Re -0.612 -1.177 2.231
Te -0.283 2.355 0.000
Cu 1.507 -0.002 0.000
Re 0.612 1.177 2.231



14.
5
Lattice="-0.022 -0.174 -4.133 2.400 -3.366 0.129 -4.361 -3.104 0.154" Properties=species:S:1:pos:R:3 comment="NaTiCdF2 GGA-PBEsol relaxed" space_group="P4/mmm, No. 123" crystal_system=tetragonal total_energy_ev_per_atom=-3.57 m_tot_mub_per_fu=2.50 pbc="T T T"
F -0.011 -0.087 -2.066
Ti -2.181 -1.552 0.077
Na 0.000 0.000 0.000
F 1.200 -1.683 0.064
Cd -0.992 -3.322 -1.925



15.
4
Lattice="3.047 0.000 0.000 0.000 4.297 0.000 0.000 0.000 4.311" Properties=species:S:1:pos:R:3 comment="CrMo2Os GGA-PBEsol relaxed" space_group="Pmmm, No. 47" crystal_system=orthorhombic e_form_ev_per_fu=0.66 de_polymorph_mev_per_atom=40 m_tot_mub_per_fu=1.36 pbc="T T T"
Mo 0.000 0.000 0.000
Os 1.524 0.000 2.156
Mo 1.524 2.149 0.000
Cr 0.000 2.149 2.156